[1]
The following is a PBE-GGA calculation of BPAu2 after structural relaxation, from the Alexandria database.

abc: 7.1666 7.1666 7.1666
angles: 141.37 141.37 55.78
Last column: nearest neighbours and their distance in Å.
Fractional positions:
1 B 0.0000 0.0000 0.0000  4 Au 2.18
2 B 0.7500 0.2500 0.5000  4 Au 2.18
3 P 0.2500 0.7500 0.5000  4 Au 2.45
4 P 0.5000 0.5000 0.0000  4 Au 2.45
5 Au 0.0687 0.6250 0.9437  2 B 2.18
6 Au 0.3750 0.3187 0.4437  2 B 2.18
7 Au 0.6813 0.1250 0.0563  2 B 2.18
8 Au 0.8750 0.9313 0.5563  2 B 2.18

Its energy above the most stable polymorph in this dataset is 0 meV per atom. Its spin magnetization is 0.00 μB per formula unit. The symmetry is I-42d, No. 122.

***

[2]
The following is a PBE-GGA calculation of B2PAu after structural relaxation, from the Alexandria database.

abc: 5.5725 5.5725 5.5725
angles: 127.08 127.08 78.12
Last column: nearest neighbours and their distance in Å.
Fractional positions:
1 B 0.0795 0.6250 0.9545  2 P 1.93
2 B 0.3750 0.3295 0.4545  2 P 1.93
3 B 0.6705 0.1250 0.0455  2 P 1.93
4 B 0.8750 0.9205 0.5455  2 P 1.93
5 P 0.0000 0.0000 0.0000  4 B 1.93
6 P 0.7500 0.2500 0.5000  4 B 1.93
7 Au 0.2500 0.7500 0.5000  4 B 2.21
8 Au 0.5000 0.5000 0.0000  4 B 2.21

As for the total energy: -0.3808 Ry per atom. Its spin magnetization is 0.00 μB per formula unit. The symmetry is I-42d, No. 122.

***

[3]
The following is a PBE-GGA calculation of BPAu2 after structural relaxation, from the Alexandria database.

abc: 4.4205 4.4205 4.4205
angles: 60.00 60.00 60.00
Last column: nearest neighbours and their distance in Å.
Fractional positions:
1 B 0.0000 0.0000 0.0000  8 Au 2.71
2 P 0.5000 0.5000 0.5000  8 Au 2.71
3 Au 0.2500 0.2500 0.2500  4 P 2.71, 4 B 2.71
4 Au 0.7500 0.7500 0.7500  4 P 2.71, 4 B 2.71

Its energy above the most stable polymorph in this dataset is 454 meV per atom. Its spin magnetization is 0.00 μB per formula unit. The symmetry is Fm-3m, No. 225.

***

[4]
The following is a PBE-GGA calculation of BP2AuS after structural relaxation, from the Alexandria database.

abc: 4.2124 4.2124 4.1108
angles: 90.00 90.00 90.00
Last column: nearest neighbours and their distance in Å.
Fractional positions:
1 B 0.0000 0.0000 0.0000  2 S 2.06, 4 P 2.11
2 P 0.0000 0.5000 0.0000  2 B 2.11
3 P 0.5000 0.0000 0.0000  2 B 2.11
4 Au 0.5000 0.5000 0.5000  8 P 2.94, 4 S 2.98
5 S 0.0000 0.0000 0.5000  2 B 2.06

Its energy above the most stable polymorph in this dataset is 0 meV per atom. Its spin magnetization is 0.00 μB per formula unit. The raw formation energy is 867 meV per atom. The symmetry is P4/mmm, No. 123.